The following is a GGA+U calculation of a geometry-optimized ZnCrCuF6 structure, from Alexandria via LeMat-Bulk.

abc: 5.3017 5.3017 9.2629
angles: 90.00 90.00 120.00
Positions (direct):
Zn 0.3333 0.6667 0.2500
Zn 0.6667 0.3333 0.7500
Cr 0.3333 0.6667 0.7500
Cr 0.6667 0.3333 0.2500
Cu 0.0000 0.0000 0.0000
Cu 0.0000 0.0000 0.5000
F 0.0140 0.3576 0.6349
F 0.0140 0.6564 0.8651
F 0.3436 0.3576 0.8651
F 0.3436 0.9860 0.6349
F 0.3576 0.0140 0.1349
F 0.3576 0.3436 0.3651
F 0.6424 0.6564 0.6349
F 0.6424 0.9860 0.8651
F 0.6564 0.0140 0.3651
F 0.6564 0.6424 0.1349
F 0.9860 0.3436 0.1349
F 0.9860 0.6424 0.3651

As for the crystal system: trigonal. The density comes out at 4.344 g/cm3. The space-group type is P-31c. Its final energy is -87.037 eV for the cell shown.